(1)
Below is a relaxed structure of SrYCl3, with properties calculated at the PBE level.

Cell and atoms, written as POSCAR:
```
SrYCl3
1.0
5.372 0.000 0.000
0.000 5.372 0.000
0.000 0.000 5.372
Sr Y Cl
1 1 3
direct
0.000 0.000 0.000 Sr
0.500 0.500 0.500 Y
0.000 0.500 0.500 Cl
0.500 0.000 0.500 Cl
0.500 0.500 0.000 Cl
```

Computed properties:
electronic total energy	-21.39	eV per formula unit
crystal system	cubic
formation energy (no corrections)	-1540	meV per atom
E above lowest polymorph	0	meV per atom

=====

(2)
Below is a relaxed structure of SrY2Cl, with properties calculated at the PBE level.

Cell and atoms, written as POSCAR:
```
SrY2Cl
1.0
4.456 0.000 0.000
0.000 4.456 0.000
0.000 0.000 7.387
Sr Y Cl
1 2 1
direct
0.000 0.000 0.000 Sr
0.000 0.500 0.500 Y
0.500 0.000 0.500 Y
0.500 0.500 0.000 Cl
```

Computed properties:
electronic total energy	-17.51	eV per formula unit
crystal system	tetragonal
formation energy (no corrections)	-264	meV per atom
E above lowest polymorph	391	meV per atom

=====

(3)
Below is a relaxed structure of SrY2Cl, with properties calculated at the PBE level.

Cell and atoms, written as POSCAR:
```
SrY2Cl
1.0
6.008 -1.785 0.000
6.008 1.785 0.000
-3.129 0.000 5.936
Sr Y Cl
1 2 1
direct
0.000 0.000 0.000 Sr
0.627 0.627 0.591 Y
0.837 0.837 0.379 Y
0.261 0.261 0.988 Cl
```

Computed properties:
electronic total energy	-18.42	eV per formula unit
crystal system	monoclinic
formation energy (no corrections)	-491	meV per atom
E above lowest polymorph	163	meV per atom

=====

(4)
Below is a relaxed structure of SrY2Cl, with properties calculated at the PBE level.

Cell and atoms, written as POSCAR:
```
SrY2Cl
1.0
-4.578 4.578 3.136
4.578 -4.578 3.136
4.578 4.578 -3.136
Sr Y Cl
2 4 2
direct
0.000 0.000 0.000 Sr
0.750 0.250 0.500 Sr
0.222 0.625 0.097 Y
0.375 0.472 0.597 Y
0.528 0.125 0.903 Y
0.875 0.778 0.403 Y
0.250 0.750 0.500 Cl
0.500 0.500 0.000 Cl
```

Computed properties:
electronic total energy	-18.01	eV per formula unit
crystal system	tetragonal
formation energy (no corrections)	-389	meV per atom
E above lowest polymorph	266	meV per atom

=====

(5)
Below is a relaxed structure of SrYCl4, with properties calculated at the PBE level.

Cell and atoms, written as POSCAR:
```
SrYCl4
1.0
0.000 4.284 4.284
4.284 0.000 4.284
4.284 4.284 0.000
Sr Y Cl
1 1 4
direct
0.000 0.000 0.000 Sr
0.750 0.750 0.750 Y
0.375 0.375 0.375 Cl
0.375 0.375 0.874 Cl
0.375 0.874 0.375 Cl
0.874 0.375 0.375 Cl
```

Computed properties:
electronic total energy	-19.48	eV per formula unit
crystal system	cubic
formation energy (no corrections)	-657	meV per atom

=====

(6)
Below is a relaxed structure of SrYCl, with properties calculated at the PBE level.

Cell and atoms, written as POSCAR:
```
SrYCl
1.0
0.000 3.197 7.641
1.971 0.000 7.641
1.971 3.197 0.000
Sr Y Cl
1 1 1
direct
0.000 0.000 0.000 Sr
0.302 0.302 0.698 Y
0.658 0.658 0.342 Cl
```

Computed properties:
electronic total energy	-12.46	eV per formula unit
crystal system	orthorhombic
formation energy (no corrections)	-822	meV per atom
E above lowest polymorph	81	meV per atom

=====

(7)
Below is a relaxed structure of Sr3YCl, with properties calculated at the PBE level.

Cell and atoms, written as POSCAR:
```
Sr3YCl
1.0
6.673 0.000 0.000
0.000 6.673 0.000
0.000 0.000 6.673
Sr Y Cl
3 1 1
direct
0.000 0.000 0.500 Sr
0.000 0.500 0.000 Sr
0.500 0.000 0.000 Sr
0.000 0.000 0.000 Y
0.500 0.500 0.500 Cl
```

Computed properties:
electronic total energy	-11.33	eV per formula unit
crystal system	cubic
formation energy (no corrections)	404	meV per atom
E above lowest polymorph	834	meV per atom

=====

(8)
Below is a relaxed structure of SrY2Cl, with properties calculated at the PBE level.

Cell and atoms, written as POSCAR:
```
SrY2Cl
1.0
-2.471 2.471 5.578
2.471 -2.471 5.578
2.471 2.471 -5.578
Sr Y Cl
1 2 1
direct
0.000 0.000 0.000 Sr
0.250 0.750 0.500 Y
0.500 0.500 0.000 Y
0.750 0.250 0.500 Cl
```

Computed properties:
electronic total energy	-16.40	eV per formula unit
crystal system	tetragonal
formation energy (no corrections)	15	meV per atom
E above lowest polymorph	670	meV per atom